# FeReSb2

FeReSb2 after structural relaxation (PBE, Alexandria).

abc: 3.2157 3.2157 24.2915
angles: 90.00 90.00 120.00
Space group R-3m (No. 166, hexagonal axes)
Inequivalent atoms, fractional coordinates:
Fe 0.0000 0.0000 0.0000 (multiplicity 3)
Re 0.0000 0.0000 0.5000 (multiplicity 3)
Sb 0.0000 0.0000 0.2520 (multiplicity 6)

## Properties
The energy above the most stable polymorph in this dataset comes out at 259 meV per atom. The calculation puts the formation energy from raw total energies at 0.52 eV per atom. The value obtained for the total magnetic moment is 0.611 μB per atom.